# 1
The following is a GGA-PBE calculation of a geometry-optimized CaAs2Os2 structure, from Alexandria via LeMat-Bulk.

Unit cell a=7.5244 b=7.5244 c=3.0026 alpha=90.00 beta=90.00 gamma=90.00
Fractional coordinates of all 10 atoms:
As 0.3523 0.8523 0.0000
As 0.8523 0.6477 0.0000
As 0.6477 0.1477 0.0000
As 0.1477 0.3523 0.0000
Os 0.1382 0.6382 0.5000
Os 0.6382 0.8618 0.5000
Os 0.8618 0.3618 0.5000
Os 0.3618 0.1382 0.5000
Ca 0.0000 0.0000 0.0000
Ca 0.5000 0.5000 0.0000

Values from the calculation:
**Formation energy**: 0.1636 eV per atom

***

# 2
The following is a GGA-PBE calculation of a geometry-optimized MgSb4Pt structure, from Alexandria via LeMat-Bulk.

Unit cell a=6.0911 b=6.0911 c=6.0911 alpha=60.00 beta=60.00 gamma=60.00
Fractional coordinates of all 6 atoms:
Mg 0.7500 0.7500 0.7500
Sb 0.8762 0.3746 0.3746
Sb 0.3746 0.3746 0.8762
Sb 0.3746 0.8762 0.3746
Sb 0.3746 0.3746 0.3746
Pt 0.0000 0.0000 0.0000

Values from the calculation:
**Energy relative to the elements, uncorrected**: 47.75 kJ/mol of atoms

***

# 3
The following is a GGA-PBE calculation of a geometry-optimized SrSbAs2Pd4 structure, from Alexandria via LeMat-Bulk.

Unit cell a=4.4479 b=4.4479 c=8.1664 alpha=90.00 beta=90.00 gamma=90.00
Fractional coordinates of all 8 atoms:
Sr 0.0000 0.0000 0.5000
Sb 0.0000 0.0000 0.0000
As 0.5000 0.5000 0.3430
As 0.5000 0.5000 0.6570
Pd 0.0000 0.5000 0.1893
Pd 0.5000 0.0000 0.8107
Pd 0.5000 0.0000 0.1893
Pd 0.0000 0.5000 0.8107

Values from the calculation:
**Energy relative to the elements, uncorrected**: -60.54 kJ/mol of atoms

***

# 4
The following is a GGA-PBE calculation of a geometry-optimized Be2Tc2Ge structure, from Alexandria via LeMat-Bulk.

Unit cell a=6.3873 b=6.3873 c=3.1593 alpha=90.00 beta=90.00 gamma=90.00
Fractional coordinates of all 10 atoms:
Be 0.1308 0.6308 0.5000
Be 0.6308 0.8692 0.5000
Be 0.8692 0.3692 0.5000
Be 0.3692 0.1308 0.5000
Ge 0.0000 0.0000 0.0000
Ge 0.5000 0.5000 0.0000
Tc 0.3445 0.8445 0.0000
Tc 0.8445 0.6555 0.0000
Tc 0.6555 0.1555 0.0000
Tc 0.1555 0.3445 0.0000

Values from the calculation:
**ΔE to the lowest computed polymorph**: 305.6 meV/atom
**Formation energy**: 0.0246 eV per atom

***

For reference, calculated density by record: 11.14, 7.34, 8.07, 7.39 g cm⁻³.
For reference, total magnetic moment by record: 0.00, 0.00, 0.00, 0.00 μB/f.u..